Record 1
Entry from the Alexandria database: crystalline ReAg2Ru at its relaxed geometry (PBE).

Results
magnetic moment: 0.002 μB per cell
DFT formation energy: 0.538 eV/atom
polymorph energy (0 for the lowest one): 289.2 meV/atom

Cell and atoms, written as CIF:
```
data_ReAg2Ru
_chemical_formula_sum 'Re2 Ag4 Ru2'
_cell_length_a 9.097
_cell_length_b 2.714
_cell_length_c 5.219
_cell_angle_alpha 90.00
_cell_angle_beta 97.01
_cell_angle_gamma 90.00
_space_group_name_H-M_alt 'C 1 m 1'
_space_group_IT_number 8
_space_group_name_Hall 'C -2y'
loop_
_atom_site_label
_atom_site_type_symbol
_atom_site_fract_x
_atom_site_fract_y
_atom_site_fract_z
_atom_site_occupancy
Re1 Re 0.000 0.000 0.000 1
Ag1 Ag 0.003 0.500 0.521 1
Ag2 Ag 0.252 0.500 0.300 1
Ru1 Ru 0.253 0.000 0.826 1
```

---

Record 2
Entry from the Alexandria database: crystalline MnP2PbS at its relaxed geometry (PBE).

Results
magnetic moment: 0.211 μB per cell
uncorrected formation energy: 0.77 eV per atom
polymorph energy (0 for the lowest one): 597.4 meV/atom

Cell and atoms, written as CIF:
```
data_MnP2PbS
_chemical_formula_sum 'Mn1 P2 Pb1 S1'
_cell_length_a 4.867
_cell_length_b 4.867
_cell_length_c 4.131
_cell_angle_alpha 90.00
_cell_angle_beta 90.00
_cell_angle_gamma 90.00
_space_group_name_H-M_alt 'P 4/m m m'
_space_group_IT_number 123
_space_group_name_Hall '-P 4 2'
loop_
_atom_site_label
_atom_site_type_symbol
_atom_site_fract_x
_atom_site_fract_y
_atom_site_fract_z
_atom_site_occupancy
Mn1 Mn 0.000 0.000 0.000 1
P1 P 0.000 0.500 0.500 1
Pb1 Pb 0.500 0.500 0.000 1
S1 S 0.000 0.000 0.500 1
```

---

Record 3
Entry from the Alexandria database: crystalline Os2PtSe at its relaxed geometry (PBE).

Results
magnetic moment: 0.000 μB per cell
uncorrected formation energy: 0.74 eV per atom

Cell and atoms, written as CIF:
```
data_Os2PtSe
_chemical_formula_sum 'Os2 Pt1 Se1'
_cell_length_a 2.775
_cell_length_b 4.726
_cell_length_c 4.777
_cell_angle_alpha 90.00
_cell_angle_beta 90.00
_cell_angle_gamma 90.00
_space_group_name_H-M_alt 'P m m m'
_space_group_IT_number 47
_space_group_name_Hall '-P 2 2'
loop_
_atom_site_label
_atom_site_type_symbol
_atom_site_fract_x
_atom_site_fract_y
_atom_site_fract_z
_atom_site_occupancy
Os1 Os 0.000 0.000 0.000 1
Os2 Os 0.500 0.500 0.000 1
Pt1 Pt 0.000 0.500 0.500 1
Se1 Se 0.500 0.000 0.500 1
```

---

Record 4
Entry from the Alexandria database: crystalline RuSe3F at its relaxed geometry (PBE).

Results
magnetic moment: 0.000 μB per cell
uncorrected formation energy: 0.29 eV per atom
polymorph energy (0 for the lowest one): 0.0 meV/atom

Cell and atoms, written as CIF:
```
data_RuSe3F
_chemical_formula_sum 'Ru1 Se3 F1'
_cell_length_a 4.832
_cell_length_b 4.832
_cell_length_c 4.832
_cell_angle_alpha 90.00
_cell_angle_beta 90.00
_cell_angle_gamma 90.00
_space_group_name_H-M_alt 'P m -3 m'
_space_group_IT_number 221
_space_group_name_Hall '-P 4 2 3'
loop_
_atom_site_label
_atom_site_type_symbol
_atom_site_fract_x
_atom_site_fract_y
_atom_site_fract_z
_atom_site_occupancy
Ru1 Ru 0.000 0.000 0.000 1
Se1 Se 0.000 0.000 0.500 1
F1 F 0.500 0.500 0.500 1
```

---

Record 5
Entry from the Alexandria database: crystalline PmTlGeTe3 at its relaxed geometry (PBE).

Results
magnetic moment: 0.000 μB per cell
uncorrected formation energy: -0.70 eV per atom

Cell and atoms, written as CIF:
```
data_PmTlGeTe3
_chemical_formula_sum 'Pm2 Tl2 Ge2 Te6'
_cell_length_a 10.110
_cell_length_b 4.309
_cell_length_c 10.170
_cell_angle_alpha 90.00
_cell_angle_beta 103.64
_cell_angle_gamma 90.00
_space_group_name_H-M_alt 'P 1 21/m 1'
_space_group_IT_number 11
_space_group_name_Hall '-P 2yb'
loop_
_atom_site_label
_atom_site_type_symbol
_atom_site_fract_x
_atom_site_fract_y
_atom_site_fract_z
_atom_site_occupancy
Pm1 Pm 0.150 0.250 0.163 1
Tl1 Tl 0.311 0.750 0.788 1
Ge1 Ge 0.390 0.750 0.455 1
Te1 Te 0.076 0.250 0.844 1
Te2 Te 0.212 0.250 0.480 1
Te3 Te 0.383 0.750 0.183 1
```

---

Record 6
Entry from the Alexandria database: crystalline Ti2TcIr9 at its relaxed geometry (PBE).

Results
magnetic moment: 0.000 μB per cell
DFT formation energy: -0.356 eV/atom

Cell and atoms, written as CIF:
```
data_Ti2TcIr9
_chemical_formula_sum 'Ti2 Tc1 Ir9'
_cell_length_a 4.771
_cell_length_b 6.130
_cell_length_c 6.137
_cell_angle_alpha 84.31
_cell_angle_beta 82.47
_cell_angle_gamma 82.39
_space_group_name_H-M_alt 'P -1'
_space_group_IT_number 2
_space_group_name_Hall '-P 1'
loop_
_atom_site_label
_atom_site_type_symbol
_atom_site_fract_x
_atom_site_fract_y
_atom_site_fract_z
_atom_site_occupancy
Ti1 Ti 0.249 0.409 0.093 1
Tc1 Tc 0.500 0.000 0.000 1
Ir1 Ir 0.000 0.500 0.500 1
Ir2 Ir 0.008 0.835 0.164 1
Ir3 Ir 0.251 0.082 0.416 1
Ir4 Ir 0.252 0.740 0.758 1
Ir5 Ir 0.491 0.331 0.668 1
```

---

Record 7
Entry from the Alexandria database: crystalline AcDyYS3 at its relaxed geometry (PBE).

Results
magnetic moment: 0.918 μB per cell
uncorrected formation energy: -1.82 eV per atom

Cell and atoms, written as CIF:
```
data_AcDyYS3
_chemical_formula_sum 'Ac2 Dy2 Y2 S6'
_cell_length_a 7.833
_cell_length_b 4.032
_cell_length_c 10.124
_cell_angle_alpha 90.00
_cell_angle_beta 103.74
_cell_angle_gamma 90.00
_space_group_name_H-M_alt 'P 1 21/m 1'
_space_group_IT_number 11
_space_group_name_Hall '-P 2yb'
loop_
_atom_site_label
_atom_site_type_symbol
_atom_site_fract_x
_atom_site_fract_y
_atom_site_fract_z
_atom_site_occupancy
Ac1 Ac 0.186 0.250 0.209 1
Dy1 Dy 0.336 0.750 0.907 1
Y1 Y 0.178 0.250 0.623 1
S1 S 0.100 0.250 0.887 1
S2 S 0.191 0.750 0.441 1
S3 S 0.481 0.750 0.187 1
```

---

Record 8
Entry from the Alexandria database: crystalline Ir5Br at its relaxed geometry (PBE).

Results
magnetic moment: 0.000 μB per cell
uncorrected formation energy: 0.72 eV per atom
polymorph energy (0 for the lowest one): 199.2 meV/atom

Cell and atoms, written as CIF:
```
data_Ir5Br
_chemical_formula_sum 'Ir5 Br1'
_cell_length_a 4.9069
_cell_length_b 4.9069
_cell_length_c 4.5311
_cell_angle_alpha 90.00
_cell_angle_beta 90.00
_cell_angle_gamma 120.00
_space_group_name_H-M_alt 'P -6 2 m'
_space_group_IT_number 189
_space_group_name_Hall 'P -6 -2'
loop_
_atom_site_label
_atom_site_type_symbol
_atom_site_fract_x
_atom_site_fract_y
_atom_site_fract_z
_atom_site_occupancy
Ir1 Ir 0.0000 0.6216 0.0000 1
Ir2 Ir 0.3333 0.6667 0.5000 1
Br1 Br 0.0000 0.0000 0.5000 1
```

---

Record 9
Entry from the Alexandria database: crystalline LaPd2Cl at its relaxed geometry (PBE).

Results
magnetic moment: 0.000 μB per cell
uncorrected formation energy: -0.41 eV per atom
polymorph energy (0 for the lowest one): 271.3 meV/atom

Cell and atoms, written as CIF:
```
data_LaPd2Cl
_chemical_formula_sum 'La4 Pd8 Cl4'
_cell_length_a 7.014
_cell_length_b 7.014
_cell_length_c 7.014
_cell_angle_alpha 90.00
_cell_angle_beta 90.00
_cell_angle_gamma 90.00
_space_group_name_H-M_alt 'F m -3 m'
_space_group_IT_number 225
_space_group_name_Hall '-F 4 2 3'
loop_
_atom_site_label
_atom_site_type_symbol
_atom_site_fract_x
_atom_site_fract_y
_atom_site_fract_z
_atom_site_occupancy
La1 La 0.000 0.000 0.000 1
Pd1 Pd 0.250 0.250 0.250 1
Cl1 Cl 0.000 0.000 0.500 1
```

---

Record 10
Entry from the Alexandria database: crystalline RhWC at its relaxed geometry (PBE).

Results
magnetic moment: 0.000 μB per cell
DFT formation energy: 0.264 eV/atom

Cell and atoms, written as CIF:
```
data_RhWC
_chemical_formula_sum 'Rh6 W6 C6'
_cell_length_a 3.0705
_cell_length_b 3.0705
_cell_length_c 27.4616
_cell_angle_alpha 90.00
_cell_angle_beta 90.00
_cell_angle_gamma 120.00
_space_group_name_H-M_alt 'R -3 m'
_space_group_IT_number 166
_space_group_name_Hall '-R 3 2"'
loop_
_atom_site_label
_atom_site_type_symbol
_atom_site_fract_x
_atom_site_fract_y
_atom_site_fract_z
_atom_site_occupancy
Rh1 Rh 0.0000 0.0000 0.1260 1
W1 W 0.0000 0.0000 0.3769 1
C1 C 0.0000 0.0000 0.2462 1
```

---

Record 11
Entry from the Alexandria database: crystalline PaNiPtAu at its relaxed geometry (PBE).

Results
magnetic moment: 0.002 μB per cell
DFT formation energy: -0.510 eV/atom

Cell and atoms, written as CIF:
```
data_PaNiPtAu
_chemical_formula_sum 'Pa4 Ni4 Pt4 Au4'
_cell_length_a 6.644
_cell_length_b 6.644
_cell_length_c 6.644
_cell_angle_alpha 90.00
_cell_angle_beta 90.00
_cell_angle_gamma 90.00
_space_group_name_H-M_alt 'F -4 3 m'
_space_group_IT_number 216
_space_group_name_Hall 'F -4 2 3'
loop_
_atom_site_label
_atom_site_type_symbol
_atom_site_fract_x
_atom_site_fract_y
_atom_site_fract_z
_atom_site_occupancy
Pa1 Pa 0.000 0.000 0.000 1
Ni1 Ni 0.250 0.250 0.250 1
Pt1 Pt 0.250 0.250 0.750 1
Au1 Au 0.000 0.000 0.500 1
```

---

Record 12
Entry from the Alexandria database: crystalline TlPIr2 at its relaxed geometry (PBE).

Results
magnetic moment: 0.000 μB per cell
DFT formation energy: 0.367 eV/atom
polymorph energy (0 for the lowest one): 312.7 meV/atom

Cell and atoms, written as CIF:
```
data_TlPIr2
_chemical_formula_sum 'Tl2 P2 Ir4'
_cell_length_a 3.013
_cell_length_b 5.535
_cell_length_c 8.479
_cell_angle_alpha 90.00
_cell_angle_beta 90.00
_cell_angle_gamma 90.00
_space_group_name_H-M_alt 'C m m m'
_space_group_IT_number 65
_space_group_name_Hall '-C 2 2'
loop_
_atom_site_label
_atom_site_type_symbol
_atom_site_fract_x
_atom_site_fract_y
_atom_site_fract_z
_atom_site_occupancy
Tl1 Tl 0.000 0.000 0.000 1
P1 P 0.000 0.000 0.500 1
Ir1 Ir 0.000 0.500 0.298 1
```

---

Record 13
Entry from the Alexandria database: crystalline NdMgIn2 at its relaxed geometry (PBE).

Results
magnetic moment: 0.000 μB per cell
DFT formation energy: -0.314 eV/atom

Cell and atoms, written as CIF:
```
data_NdMgIn2
_chemical_formula_sum 'Nd1 Mg1 In2'
_cell_length_a 3.643
_cell_length_b 3.643
_cell_length_c 7.778
_cell_angle_alpha 90.00
_cell_angle_beta 90.00
_cell_angle_gamma 90.00
_space_group_name_H-M_alt 'P 4/m m m'
_space_group_IT_number 123
_space_group_name_Hall '-P 4 2'
loop_
_atom_site_label
_atom_site_type_symbol
_atom_site_fract_x
_atom_site_fract_y
_atom_site_fract_z
_atom_site_occupancy
Nd1 Nd 0.000 0.000 0.000 1
Mg1 Mg 0.000 0.000 0.500 1
In1 In 0.500 0.500 0.279 1
```